Hf6ZrHg | PBE-GGA | relaxed

```
data_Hf6ZrHg
_cell_length_a 5.103
_cell_length_b 6.343
_cell_length_c 10.984
_cell_angle_alpha 90.00
_cell_angle_beta 90.00
_cell_angle_gamma 90.00
_symmetry_space_group_name_H-M 'A m m 2'
_symmetry_Int_Tables_number 38
loop_
_symmetry_equiv_pos_as_xyz
'x,y,z'
'-x,-y,z'
'-x,y,z'
'x,-y,z'
'x,y+1/2,z+1/2'
'-x,-y+1/2,z+1/2'
'-x,y+1/2,z+1/2'
'x,-y+1/2,z+1/2'
loop_
_atom_site_label
_atom_site_type_symbol
_atom_site_fract_x
_atom_site_fract_y
_atom_site_fract_z
Hf1 Hf 0.000 0.000 0.000
Hf2 Hf 0.000 0.244 0.246
Hf3 Hf 0.500 0.000 0.164
Hf4 Hf 0.500 0.249 0.914
Zr1 Zr 0.500 0.000 0.665
Hg1 Hg 0.000 0.000 0.497
```

Summary:
The density is 12.729 g/cm3. The calculation puts the calculated formation energy at 1.7 kJ per mole of atoms. The calculation puts the volume at 355.6 Å³/cell.